Compound: Sc2BeVPb
Source: Alexandria
Functional: PBE-GGA
Structure: optimized geometry

Calculated values
- Formation energy from the elements: 1.255 eV/atom
- D(E_F): 10.6 states/eV/cell
- Space group: P4/mmm, No. 123
- Total energy: -4.59 eV per atom

Cell and atoms, written as CIF:
```
data_Sc2BeVPb
_space_group_name_H-M_alt 'P 1'
_space_group_IT_number 1
_cell_length_a 5.4252
_cell_length_b 4.3641
_cell_length_c 5.4252
_cell_angle_alpha 90.00
_cell_angle_beta 90.00
_cell_angle_gamma 90.00
loop_
_space_group_symop_operation_xyz
'x,y,z'
loop_
_atom_site_label
_atom_site_type_symbol
_atom_site_fract_x
_atom_site_fract_y
_atom_site_fract_z
Sc1 Sc 0.5000 0.0000 0.0000
Sc2 Sc 0.0000 0.0000 0.5000
V1 V 0.5000 0.5000 0.5000
Pb1 Pb 0.0000 0.0000 0.0000
Be1 Be 0.0000 0.5000 0.0000
```

Compound: BePb2Se
Source: Alexandria
Functional: PBE-GGA
Structure: optimized geometry

Calculated values
- Energy above the most stable polymorph in this dataset: 427.3 meV/atom
- Uncorrected formation energy: 41.5 kJ per mole of atoms
- D(E_F): 1.8 states/eV/cell
- Space group: I4/mmm, No. 139
- Total energy: -3.23 eV per atom

Cell and atoms, written as CIF:
```
data_BePb2Se
_space_group_name_H-M_alt 'P 1'
_space_group_IT_number 1
_cell_length_a 5.4898
_cell_length_b 5.4898
_cell_length_c 5.4898
_cell_angle_alpha 128.27
_cell_angle_beta 128.27
_cell_angle_gamma 76.19
loop_
_space_group_symop_operation_xyz
'x,y,z'
loop_
_atom_site_label
_atom_site_type_symbol
_atom_site_fract_x
_atom_site_fract_y
_atom_site_fract_z
Pb1 Pb 0.5000 0.5000 0.0000
Pb2 Pb 0.0000 0.0000 0.0000
Se1 Se 0.2500 0.7500 0.5000
Be1 Be 0.7500 0.2500 0.5000
```

Compound: Be2PbSe
Source: Alexandria
Functional: PBE-GGA
Structure: optimized geometry

Calculated values
- Energy above the most stable polymorph in this dataset: 517.0 meV/atom
- Uncorrected formation energy: 37.7 kJ per mole of atoms
- D(E_F): 0.7 states/eV/cell
- Space group: Cmmm, No. 65
- Total energy: -3.27 eV per atom

Cell and atoms, written as CIF:
```
data_Be2PbSe
_space_group_name_H-M_alt 'P 1'
_space_group_IT_number 1
_cell_length_a 3.7323
_cell_length_b 3.7323
_cell_length_c 7.3363
_cell_angle_alpha 90.00
_cell_angle_beta 90.00
_cell_angle_gamma 125.89
loop_
_space_group_symop_operation_xyz
'x,y,z'
loop_
_atom_site_label
_atom_site_type_symbol
_atom_site_fract_x
_atom_site_fract_y
_atom_site_fract_z
Be1 Be 0.0000 0.0000 0.9530
Be2 Be 0.0000 0.0000 0.5470
Pb1 Pb 0.5000 0.5000 0.2500
Se1 Se 0.5000 0.5000 0.7500
```

Compound: BePb2Se
Source: Alexandria
Functional: PBE-GGA
Structure: optimized geometry

Calculated values
- Energy above the most stable polymorph in this dataset: 162.1 meV/atom
- Uncorrected formation energy: 15.9 kJ per mole of atoms
- D(E_F): 0.0 states/eV/cell
- Space group: I-42d, No. 122
- Total energy: -3.49 eV per atom

Cell and atoms, written as CIF:
```
data_BePb2Se
_space_group_name_H-M_alt 'P 1'
_space_group_IT_number 1
_cell_length_a 6.1314
_cell_length_b 6.1314
_cell_length_c 7.6295
_cell_angle_alpha 66.31
_cell_angle_beta 66.31
_cell_angle_gamma 90.00
loop_
_space_group_symop_operation_xyz
'x,y,z'
loop_
_atom_site_label
_atom_site_type_symbol
_atom_site_fract_x
_atom_site_fract_y
_atom_site_fract_z
Pb1 Pb 0.5652 0.1250 0.2500
Pb2 Pb 0.8750 0.8152 0.7500
Pb3 Pb 0.3750 0.4348 0.7500
Pb4 Pb 0.1848 0.6250 0.2500
Be1 Be 0.5000 0.5000 0.0000
Be2 Be 0.2500 0.7500 0.5000
Se1 Se 0.0000 0.0000 0.0000
Se2 Se 0.7500 0.2500 0.5000
```

Compound: Be2PbSe
Source: Alexandria
Functional: PBE-GGA
Structure: optimized geometry

Calculated values
- Energy above the most stable polymorph in this dataset: 248.5 meV/atom
- Uncorrected formation energy: 11.8 kJ per mole of atoms
- D(E_F): 0.8 states/eV/cell
- Space group: Cmm2, No. 35
- Total energy: -3.54 eV per atom

Cell and atoms, written as CIF:
```
data_Be2PbSe
_space_group_name_H-M_alt 'P 1'
_space_group_IT_number 1
_cell_length_a 3.6277
_cell_length_b 3.6277
_cell_length_c 7.8340
_cell_angle_alpha 90.00
_cell_angle_beta 90.00
_cell_angle_gamma 117.15
loop_
_space_group_symop_operation_xyz
'x,y,z'
loop_
_atom_site_label
_atom_site_type_symbol
_atom_site_fract_x
_atom_site_fract_y
_atom_site_fract_z
Be1 Be 0.0000 0.0000 0.0342
Be2 Be 0.5000 0.5000 0.1693
Pb1 Pb 0.0000 0.0000 0.4023
Se1 Se 0.5000 0.5000 0.8942
```

Compound: BePbSe4
Source: Alexandria
Functional: PBE-GGA
Structure: optimized geometry

Calculated values
- Uncorrected formation energy: 63.2 kJ per mole of atoms
- D(E_F): 2.3 states/eV/cell
- Space group: F-43m, No. 216
- Total energy: -2.91 eV per atom

Cell and atoms, written as CIF:
```
data_BePbSe4
_space_group_name_H-M_alt 'P 1'
_space_group_IT_number 1
_cell_length_a 5.8099
_cell_length_b 5.8099
_cell_length_c 5.8099
_cell_angle_alpha 60.00
_cell_angle_beta 60.00
_cell_angle_gamma 60.00
loop_
_space_group_symop_operation_xyz
'x,y,z'
loop_
_atom_site_label
_atom_site_type_symbol
_atom_site_fract_x
_atom_site_fract_y
_atom_site_fract_z
Se1 Se 0.3764 0.3764 0.8709
Se2 Se 0.3764 0.8709 0.3764
Se3 Se 0.3764 0.3764 0.3764
Se4 Se 0.8709 0.3764 0.3764
Pb1 Pb 0.0000 0.0000 0.0000
Be1 Be 0.7500 0.7500 0.7500
```

Compound: Be2PbSe
Source: Alexandria
Functional: PBE-GGA
Structure: optimized geometry

Calculated values
- Energy above the most stable polymorph in this dataset: 1074.9 meV/atom
- Uncorrected formation energy: 91.5 kJ per mole of atoms
- D(E_F): 3.9 states/eV/cell
- Space group: F-43m, No. 216
- Total energy: -2.71 eV per atom

Cell and atoms, written as CIF:
```
data_Be2PbSe
_space_group_name_H-M_alt 'P 1'
_space_group_IT_number 1
_cell_length_a 4.8056
_cell_length_b 4.8056
_cell_length_c 4.8056
_cell_angle_alpha 60.00
_cell_angle_beta 60.00
_cell_angle_gamma 60.00
loop_
_space_group_symop_operation_xyz
'x,y,z'
loop_
_atom_site_label
_atom_site_type_symbol
_atom_site_fract_x
_atom_site_fract_y
_atom_site_fract_z
Se1 Se 0.2500 0.2500 0.2500
Pb1 Pb 0.5000 0.5000 0.5000
Be1 Be 0.0000 0.0000 0.0000
Be2 Be 0.7500 0.7500 0.7500
```

Compound: BePb2Se
Source: Alexandria
Functional: PBE-GGA
Structure: optimized geometry

Calculated values
- Energy above the most stable polymorph in this dataset: 0.0 meV/atom
- Uncorrected formation energy: 0.2 kJ per mole of atoms
- D(E_F): 1.6 states/eV/cell
- Space group: Pm, No. 6
- Total energy: -3.65 eV per atom

Cell and atoms, written as CIF:
```
data_BePb2Se
_space_group_name_H-M_alt 'P 1'
_space_group_IT_number 1
_cell_length_a 3.5247
_cell_length_b 3.8860
_cell_length_c 7.6904
_cell_angle_alpha 75.57
_cell_angle_beta 90.00
_cell_angle_gamma 90.00
loop_
_space_group_symop_operation_xyz
'x,y,z'
loop_
_atom_site_label
_atom_site_type_symbol
_atom_site_fract_x
_atom_site_fract_y
_atom_site_fract_z
Se1 Se 0.0000 0.6474 0.5751
Be1 Be 0.5000 0.5710 0.7399
Pb1 Pb 0.0000 0.9683 0.9408
Pb2 Pb 0.5000 0.3133 0.2443
```

Compound: Be2PbSe
Source: Alexandria
Functional: PBE-GGA
Structure: optimized geometry

Calculated values
- Energy above the most stable polymorph in this dataset: 875.2 meV/atom
- Uncorrected formation energy: 72.3 kJ per mole of atoms
- D(E_F): 2.0 states/eV/cell
- Space group: P4/mmm, No. 123
- Total energy: -2.91 eV per atom

Cell and atoms, written as CIF:
```
data_Be2PbSe
_space_group_name_H-M_alt 'P 1'
_space_group_IT_number 1
_cell_length_a 4.5945
_cell_length_b 4.5945
_cell_length_c 3.3979
_cell_angle_alpha 90.00
_cell_angle_beta 90.00
_cell_angle_gamma 90.00
loop_
_space_group_symop_operation_xyz
'x,y,z'
loop_
_atom_site_label
_atom_site_type_symbol
_atom_site_fract_x
_atom_site_fract_y
_atom_site_fract_z
Se1 Se 0.0000 0.5000 0.5000
Be1 Be 0.5000 0.5000 0.0000
Be2 Be 0.0000 0.0000 0.0000
Pb1 Pb 0.5000 0.0000 0.5000
```

Compound: BePb2Se
Source: Alexandria
Functional: PBE-GGA
Structure: optimized geometry

Calculated values
- Energy above the most stable polymorph in this dataset: 349.1 meV/atom
- Uncorrected formation energy: 33.9 kJ per mole of atoms
- D(E_F): 1.4 states/eV/cell
- Space group: P2/m, No. 10
- Total energy: -3.31 eV per atom

Cell and atoms, written as CIF:
```
data_BePb2Se
_space_group_name_H-M_alt 'P 1'
_space_group_IT_number 1
_cell_length_a 3.7480
_cell_length_b 3.7413
_cell_length_c 7.5211
_cell_angle_alpha 68.05
_cell_angle_beta 90.00
_cell_angle_gamma 90.00
loop_
_space_group_symop_operation_xyz
'x,y,z'
loop_
_atom_site_label
_atom_site_type_symbol
_atom_site_fract_x
_atom_site_fract_y
_atom_site_fract_z
Pb1 Pb 0.0000 0.5784 0.5128
Pb2 Pb 0.0000 0.9216 0.9872
Se1 Se 0.5000 0.2500 0.2500
Be1 Be 0.5000 0.7500 0.7500
```

Compound: BePb2Se
Source: Alexandria
Functional: PBE-GGA
Structure: optimized geometry

Calculated values
- Energy above the most stable polymorph in this dataset: 556.7 meV/atom
- Uncorrected formation energy: 53.9 kJ per mole of atoms
- D(E_F): 3.7 states/eV/cell
- Space group: F-43m, No. 216
- Total energy: -3.10 eV per atom

Cell and atoms, written as CIF:
```
data_BePb2Se
_space_group_name_H-M_alt 'P 1'
_space_group_IT_number 1
_cell_length_a 5.1930
_cell_length_b 5.1930
_cell_length_c 5.1930
_cell_angle_alpha 60.00
_cell_angle_beta 60.00
_cell_angle_gamma 60.00
loop_
_space_group_symop_operation_xyz
'x,y,z'
loop_
_atom_site_label
_atom_site_type_symbol
_atom_site_fract_x
_atom_site_fract_y
_atom_site_fract_z
Se1 Se 0.7500 0.7500 0.7500
Be1 Be 0.5000 0.5000 0.5000
Pb1 Pb 0.0000 0.0000 0.0000
Pb2 Pb 0.2500 0.2500 0.2500
```

Compound: Be2PbSe
Source: Alexandria
Functional: PBE-GGA
Structure: optimized geometry

Calculated values
- Energy above the most stable polymorph in this dataset: 325.4 meV/atom
- Uncorrected formation energy: 19.2 kJ per mole of atoms
- D(E_F): 1.3 states/eV/cell
- Space group: R-3m, No. 166
- Total energy: -3.46 eV per atom

Cell and atoms, written as CIF:
```
data_Be2PbSe
_space_group_name_H-M_alt 'P 1'
_space_group_IT_number 1
_cell_length_a 3.4840
_cell_length_b 3.4840
_cell_length_c 6.9862
_cell_angle_alpha 75.56
_cell_angle_beta 75.56
_cell_angle_gamma 60.01
loop_
_space_group_symop_operation_xyz
'x,y,z'
loop_
_atom_site_label
_atom_site_type_symbol
_atom_site_fract_x
_atom_site_fract_y
_atom_site_fract_z
Se1 Se 0.2500 0.2500 0.2500
Be1 Be 0.9834 0.9834 0.0498
Be2 Be 0.5166 0.5166 0.4502
Pb1 Pb 0.7500 0.7500 0.7500
```